A relaxed Ho3Tl2S6 crystal, computed with PBE.

It has space group C2/m (No. 12), with a = 6.926 Å, b = 11.989 Å, c = 7.591 Å, α = 90.00°, β = 107.56° and γ = 90.00°. Symmetry generates all atoms from Ho at (0.000, 0.000, 0.000), Ho at (0.000, 0.334, 0.000), Tl at (0.000, 0.167, 0.500), S at (0.232, 0.169, 0.203) and S at (0.237, 0.500, 0.202).

The calculation puts the electronic total energy at -5.4251 eV/atom. The density of states at the Fermi level is 8.16 states/eV/cell.